DFT (PBE) results for Ba2Mg6ZnGa after structural relaxation.

Geometry as CIF:
```
data_Ba2Mg6ZnGa
_chemical_formula_sum 'Ba4 Mg12 Zn2 Ga2'
_space_group_name_H-M_alt 'C 1 2/m 1'
_space_group_IT_number 12
_space_group_name_Hall '-C 2y'
_cell_length_a 12.6642
_cell_length_b 7.3119
_cell_length_c 7.5639
_cell_angle_alpha 90.00
_cell_angle_beta 123.78
_cell_angle_gamma 90.00
loop_
_atom_site_label
_atom_site_type_symbol
_atom_site_fract_x
_atom_site_fract_y
_atom_site_fract_z
Ba1 Ba 0.2093 0.0000 0.1284
Mg1 Mg 0.0460 0.2909 0.3450
Mg2 Mg 0.2458 0.0000 0.6545
Zn1 Zn 0.0000 0.0000 0.5000
Ga1 Ga 0.0000 0.5000 0.0000
```

Output
ΔE_f   -93 meV per atom
Crystal system   monoclinic
Total magnetization   0.0 μB/f.u.
Total DFT energy (no corrections)   -37.28 eV for the cell shown

---

DFT (PBE) results for Ba2MgZn3Ga4 after structural relaxation.

Geometry as CIF:
```
data_Ba2MgZn3Ga4
_chemical_formula_sum 'Ba2 Mg1 Zn3 Ga4'
_space_group_name_H-M_alt 'P -4 m 2'
_space_group_IT_number 115
_space_group_name_Hall 'P -4 -2'
_cell_length_a 4.5903
_cell_length_b 4.5903
_cell_length_c 11.1938
_cell_angle_alpha 90.00
_cell_angle_beta 90.00
_cell_angle_gamma 90.00
loop_
_atom_site_label
_atom_site_type_symbol
_atom_site_fract_x
_atom_site_fract_y
_atom_site_fract_z
Ba1 Ba 0.0000 0.5000 0.2437
Mg1 Mg 0.0000 0.0000 0.5000
Zn1 Zn 0.0000 0.5000 0.8745
Zn2 Zn 0.5000 0.5000 0.5000
Ga1 Ga 0.0000 0.0000 0.0000
Ga2 Ga 0.0000 0.5000 0.6361
Ga3 Ga 0.5000 0.5000 0.0000
```

Output
ΔE_f   -321 meV per atom
Crystal system   tetragonal
Total magnetization   0.0 μB/f.u.
Total DFT energy (no corrections)   -24.58 eV for the cell shown

---

DFT (PBE) results for BaMg4Zn2Ga after structural relaxation.

Geometry as CIF:
```
data_BaMg4Zn2Ga
_chemical_formula_sum 'Ba3 Mg12 Zn6 Ga3'
_space_group_name_H-M_alt 'R -3 m'
_space_group_IT_number 166
_space_group_name_Hall '-R 3 2"'
_cell_length_a 4.7239
_cell_length_b 4.7239
_cell_length_c 30.6591
_cell_angle_alpha 90.00
_cell_angle_beta 90.00
_cell_angle_gamma 120.00
loop_
_atom_site_label
_atom_site_type_symbol
_atom_site_fract_x
_atom_site_fract_y
_atom_site_fract_z
Ba1 Ba 0.0000 0.0000 0.0000
Mg1 Mg 0.0000 0.0000 0.1342
Mg2 Mg 0.0000 0.0000 0.4110
Zn1 Zn 0.0000 0.0000 0.2419
Ga1 Ga 0.0000 0.0000 0.5000
```

Output
ΔE_f   -93 meV per atom
Crystal system   trigonal
Total magnetization   0.0 μB/f.u.
Total DFT energy (no corrections)   -43.85 eV for the cell shown